Entry 1:
A relaxed Ac3Tl2Pd6Au crystal. Source: Alexandria, functional GGA-PBE.

## Properties
**Density of states at the Fermi level**: 4.15 states/eV per cell
**V**: 280.7 Å³/cell
**Total DFT energy (no corrections)**: -59.1 eV/cell

a = 5.9356 Å, b = 5.9356 Å, c = 9.1999 Å
α = 90.00°, β = 90.00°, γ = 120.00°
With the nearest neighbours (Å) after each atom.
Space group P-3m1 (No. 164)
Asymmetric unit:
Ac  0.0000  0.0000  0.0000 x1  6 Pd 3.10, 6 Tl 3.43
Ac  0.3333  0.6667  0.6116 x2  9 Pd 3.15-3.51
Tl  0.3333  0.6667  0.0036 x2  3 Pd 2.97
Pd  0.1749  0.3497  0.2741 x6  1 Au 2.75, 2 Pd 2.82, 1 Tl 2.97
Au  0.0000  0.0000  0.5000 x1  6 Pd 2.75



Entry 2:
A relaxed PRhI2N crystal. Source: Alexandria, functional GGA-PBE.

## Properties
**Energy relative to the lowest polymorph listed for this composition**: 0.000 eV per atom
**Density of states at the Fermi level**: 3.61 states/eV per cell
**V**: 113.9 Å³/cell
**E_form (uncorrected)**: 0.83 eV/atom

a = 5.5575 Å, b = 5.5575 Å, c = 3.6865 Å
α = 90.00°, β = 90.00°, γ = 90.00°
With the nearest neighbours (Å) after each atom.
Space group P4/mmm (No. 123)
Asymmetric unit:
P  0.0000  0.0000  0.0000 x1  8 I 3.33, 2 P 3.69
Rh  0.5000  0.5000  0.5000 x1  2 N 1.84
I  0.0000  0.5000  0.5000 x2  2 Rh 2.78
N  0.5000  0.5000  0.0000 x1  2 Rh 1.84



What is the formula in the first record?
Ac3Tl2Pd6Au



What is the density of states at the Fermi level in the first record?
4.15 states/eV per cell



What is the V in the first record?
280.7 Å³/cell



Among the records above, which one has the highest density of states at the Fermi level?
Ac3Tl2Pd6Au